Record 1
VASP calculation (GGA-PBE) on a relaxed SrZn2CdF8 crystal.

Lattice parameters (Å, degrees): 5.4358 5.4358 11.4654 90.00 90.00 90.00
Closest atoms and distances in Å follow each position.
Space group I-4 (No. 82)
Inequivalent atoms, fractional coordinates:
1 Sr 0.0000 0.0000 0.0000 x2  8 F 2.47-2.53
2 Zn 0.0000 0.0000 0.5000 x2  4 F 1.96
3 Zn 0.0000 0.5000 0.2500 x2  4 F 1.96
4 Cd 0.0000 0.5000 0.7500 x2  8 F 2.37-2.43
5 F 0.1630 0.2606 0.5889 x8  1 Zn 1.96
6 F 0.1810 0.7587 0.1682 x8  1 Zn 1.96

Values from the calculation:
Calculated volume in Å³ per cell: 338.8
Uncorrected energy in eV for the cell shown: -104.5
Raw formation energy in eV per atom: -2.68

Record 2
VASP calculation (GGA-PBE) on a relaxed SrZnCdF6 crystal.

Lattice parameters (Å, degrees): 5.6716 5.6716 10.3561 90.00 90.00 120.00
Closest atoms and distances in Å follow each position.
Space group P-31c (No. 163)
Inequivalent atoms, fractional coordinates:
1 Sr 0.0000 0.0000 0.0000 x2  6 F 2.47
2 Zn 0.3333 0.6667 0.2500 x2  6 F 2.08
3 Cd 0.3333 0.6667 0.7500 x2  6 F 2.26
4 F 0.0254 0.3656 0.1389 x12  1 Zn 2.08, 1 Cd 2.26

Values from the calculation:
Calculated volume in Å³ per cell: 288.5
Uncorrected energy in eV for the cell shown: -80.7
Raw formation energy in eV per atom: -2.81

Record 3
VASP calculation (GGA-PBE) on a relaxed SrZnCd2F8 crystal.

Lattice parameters (Å, degrees): 3.9369 5.5490 7.8646 86.83 89.73 87.77
Closest atoms and distances in Å follow each position.
Space group P-1 (No. 2)
Inequivalent atoms, fractional coordinates:
1 Sr 0.0000 0.0000 0.0000 x1  8 F 2.42-2.53
2 Zn 0.0000 0.0000 0.5000 x1  2 F 1.92
3 Cd 0.4910 0.4786 0.2646 x2  6 F 2.26-2.48
4 F 0.0228 0.3180 0.7606 x2  2 Cd 2.26-2.28, 1 Sr 2.51
5 F 0.0315 0.1841 0.2862 x2  1 Zn 1.92
6 F 0.4507 0.7627 0.4808 x2  1 Zn 2.18, 2 Cd 2.35-2.38
7 F 0.4973 0.2595 0.0286 x2  1 Cd 2.27, 2 Sr 2.42-2.49

Values from the calculation:
Calculated volume in Å³ per cell: 171.4
Uncorrected energy in eV for the cell shown: -51.1
Raw formation energy in eV per atom: -2.61

Record 4
VASP calculation (GGA-PBE) on a relaxed Sr2Zn3CdF12 crystal.

Lattice parameters (Å, degrees): 7.1812 7.1812 16.9351 90.00 90.00 120.00
Closest atoms and distances in Å follow each position.
Space group R-3m (No. 166, hexagonal axes)
Inequivalent atoms, fractional coordinates:
1 Sr 0.0000 0.0000 0.1168 x6  3 F 2.39
2 Zn 0.0000 0.5000 0.0000 x9  6 F 2.02-2.09
3 Cd 0.0000 0.0000 0.5000 x3  6 F 2.48
4 F 0.0458 0.5229 0.3009 x18  2 Zn 2.02
5 F 0.0471 0.5235 0.8777 x18  1 Zn 2.09

Values from the calculation:
Calculated volume in Å³ per cell: 756.3
Uncorrected energy in eV for the cell shown: -238.0
Raw formation energy in eV per atom: -2.71

Record 5
VASP calculation (GGA-PBE) on a relaxed SrZr2CdF crystal.

Lattice parameters (Å, degrees): 5.4184 5.4184 5.7487 90.00 90.00 90.00
Closest atoms and distances in Å follow each position.
Space group P4/mmm (No. 123)
Inequivalent atoms, fractional coordinates:
1 Sr 0.0000 0.0000 0.0000 x1  4 Zr 2.71, 2 Cd 2.87
2 Zr 0.0000 0.5000 0.0000 x2  2 Sr 2.71
3 Cd 0.0000 0.0000 0.5000 x1  2 Sr 2.87
4 F 0.5000 0.5000 0.5000 x1  4 Cd 3.83, 8 Zr 3.95

Values from the calculation:
Calculated volume in Å³ per cell: 168.8
Uncorrected energy in eV for the cell shown: -14.2
Raw formation energy in eV per atom: 1.48

Record 6
VASP calculation (GGA-PBE) on a relaxed TaCdF3 crystal.

Lattice parameters (Å, degrees): 4.3051 4.3051 4.3051 90.00 90.00 90.00
Closest atoms and distances in Å follow each position.
Space group Pm-3m (No. 221)
Inequivalent atoms, fractional coordinates:
1 Ta 0.0000 0.0000 0.0000 x1  6 F 2.15
2 Cd 0.5000 0.5000 0.5000 x1  12 F 3.04
3 F 0.0000 0.0000 0.5000 x3  2 Ta 2.15

Values from the calculation:
Energy relative to the lowest polymorph listed for this composition in eV/atom: 0.0000
Calculated volume in Å³ per cell: 79.8
Uncorrected energy in eV for the cell shown: -26.6
Raw formation energy in eV per atom: -1.63

Record 7
VASP calculation (GGA-PBE) on a relaxed TaCdF3 crystal.

Lattice parameters (Å, degrees): 4.4288 4.4288 4.4288 90.00 90.00 90.00
Closest atoms and distances in Å follow each position.
Space group Pm-3m (No. 221)
Inequivalent atoms, fractional coordinates:
1 Ta 0.0000 0.0000 0.0000 x1  12 F 3.13
2 Cd 0.5000 0.5000 0.5000 x1  6 F 2.21
3 F 0.0000 0.5000 0.5000 x3  2 Cd 2.21

Values from the calculation:
Energy relative to the lowest polymorph listed for this composition in eV/atom: 1.0595
Calculated volume in Å³ per cell: 86.9
Uncorrected energy in eV for the cell shown: -21.3
Raw formation energy in eV per atom: -0.57

Record 8
VASP calculation (GGA-PBE) on a relaxed TaCd3F crystal.

Lattice parameters (Å, degrees): 4.6327 4.6327 4.6327 90.00 90.00 90.00
Closest atoms and distances in Å follow each position.
Space group Pm-3m (No. 221)
Inequivalent atoms, fractional coordinates:
1 Ta 0.0000 0.0000 0.0000 x1  12 Cd 3.28
2 Cd 0.0000 0.5000 0.5000 x3  2 F 2.32
3 F 0.5000 0.5000 0.5000 x1  6 Cd 2.32

Values from the calculation:
Energy relative to the lowest polymorph listed for this composition in eV/atom: 0.0000
Calculated volume in Å³ per cell: 99.4
Uncorrected energy in eV for the cell shown: -15.6
Raw formation energy in eV per atom: 0.17

Record 9
VASP calculation (GGA-PBE) on a relaxed TaCd2F crystal.

Lattice parameters (Å, degrees): 6.7461 6.7461 6.7461 90.00 90.00 90.00
Closest atoms and distances in Å follow each position.
Space group Fm-3m (No. 225)
Inequivalent atoms, fractional coordinates:
1 Ta 0.0000 0.0000 0.0000 x4  8 Cd 2.92
2 Cd 0.2500 0.2500 0.2500 x8  4 Ta 2.92, 4 F 2.92
3 F 0.0000 0.0000 0.5000 x4  8 Cd 2.92

Values from the calculation:
Energy relative to the lowest polymorph listed for this composition in eV/atom: 0.2640
Calculated volume in Å³ per cell: 307.0
Uncorrected energy in eV for the cell shown: -56.4
Raw formation energy in eV per atom: 0.36

Record 10
VASP calculation (GGA-PBE) on a relaxed TaCd3F crystal.

Lattice parameters (Å, degrees): 5.6058 5.6058 5.6058 90.00 90.00 90.00
Closest atoms and distances in Å follow each position.
Space group Pm-3m (No. 221)
Inequivalent atoms, fractional coordinates:
1 Ta 0.0000 0.0000 0.0000 x1  6 Cd 2.80
2 Cd 0.0000 0.0000 0.5000 x3  2 Ta 2.80
3 F 0.5000 0.5000 0.5000 x1  12 Cd 3.96

Values from the calculation:
Energy relative to the lowest polymorph listed for this composition in eV/atom: 0.6449
Calculated volume in Å³ per cell: 176.2
Uncorrected energy in eV for the cell shown: -12.4
Raw formation energy in eV per atom: 0.81

Record 11
VASP calculation (GGA-PBE) on a relaxed TaCd2F crystal.

Lattice parameters (Å, degrees): 7.4720 7.4720 5.3170 90.00 90.00 90.00
Closest atoms and distances in Å follow each position.
Space group I-42d (No. 122)
Inequivalent atoms, fractional coordinates:
1 Ta 0.0000 0.0000 0.0000 x4  2 F 2.66
2 Cd 0.2000 0.7500 0.6250 x8  2 F 2.48, 2 Cd 2.76
3 F 0.0000 0.0000 0.5000 x4  4 Cd 2.48, 2 Ta 2.66

Values from the calculation:
Energy relative to the lowest polymorph listed for this composition in eV/atom: 0.0000
Calculated volume in Å³ per cell: 296.9
Uncorrected energy in eV for the cell shown: -60.6
Raw formation energy in eV per atom: 0.10

Record 12
VASP calculation (GGA-PBE) on a relaxed Ta2ZnCdF crystal.

Lattice parameters (Å, degrees): 4.2270 4.2270 4.7927 90.00 90.00 90.00
Closest atoms and distances in Å follow each position.
Space group P4/mmm (No. 123)
Inequivalent atoms, fractional coordinates:
1 Ta 0.0000 0.5000 0.0000 x2  2 F 2.11
2 Zn 0.0000 0.0000 0.5000 x1  2 F 2.40
3 Cd 0.5000 0.5000 0.5000 x1  4 Zn 2.99, 8 Ta 3.20
4 F 0.0000 0.0000 0.0000 x1  4 Ta 2.11

Values from the calculation:
Calculated volume in Å³ per cell: 85.6
Uncorrected energy in eV for the cell shown: -26.8
Raw formation energy in eV per atom: 0.20